[1]
AcZn4Cu4 PBE-GGA optimized geometry; formation energy from the elements = -0.14 eV/atom; total moment = 0.00 μB/f.u.; energy above the most stable polymorph in this dataset = 0.0 meV per atom; final energy = -26.8 eV for the cell shown
1.0
-4.2293 4.2293 2.1823
4.2293 -4.2293 2.1823
4.2293 4.2293 -2.1823
Ac Zn Cu
1 4 4
direct
0.0000 0.0000 0.0000
0.2275 0.3375 0.5650
0.3375 0.7725 0.1101
0.6625 0.2275 0.8899
0.7725 0.6625 0.4350
0.1002 0.6009 0.7011
0.3991 0.1002 0.4993
0.6009 0.8998 0.5007
0.8998 0.3991 0.2989

=====

[2]
AcPtAu PBE-GGA optimized geometry; formation energy from the elements = -0.92 eV/atom; total moment = 0.00 μB/f.u.; energy above the most stable polymorph in this dataset = 26.4 meV per atom; final energy = -16.2 eV for the cell shown
1.0
4.7469 0.0000 0.0000
-2.3734 4.1109 0.0000
0.0000 0.0000 3.9238
Ac Pt Au
1 1 1
direct
0.0000 0.0000 0.0000
0.3333 0.6667 0.4984
0.6667 0.3333 0.5008

=====

[3]
Sm2Cu3Pd2 PBE-GGA optimized geometry; formation energy from the elements = -0.47 eV/atom; total moment = 0.00 μB/f.u.; final energy = -35.4 eV for the cell shown
1.0
4.9251 -2.1803 0.0000
4.9251 2.1803 0.0000
-2.3239 0.0000 6.0641
Sm Cu Pd
2 3 2
direct
0.1483 0.1483 0.2505
0.8517 0.8517 0.7495
0.3976 0.3976 0.0780
0.5000 0.5000 0.5000
0.6024 0.6024 0.9220
0.1379 0.1379 0.7084
0.8621 0.8621 0.2916

=====

[4]
PuHf2Ti4 PBE-GGA optimized geometry; formation energy from the elements = 0.11 eV/atom; total moment = 4.34 μB/f.u.; final energy = -130.1 eV for the cell shown
1.0
6.1571 -4.0745 0.0000
6.1571 4.0745 0.0000
-0.7120 0.0000 5.5079
Pu Hf Ti
2 4 8
direct
0.1445 0.1445 0.3728
0.8555 0.8555 0.6272
0.1942 0.8058 0.0000
0.3169 0.6831 0.5000
0.4055 0.3660 0.1056
0.6340 0.5945 0.8944
0.1166 0.4608 0.6924
0.4027 0.0181 0.8056
0.5392 0.8834 0.3076
0.5625 0.2434 0.6071
0.7566 0.4375 0.3929
0.7705 0.0469 0.1246
0.9531 0.2295 0.8754
0.9819 0.5973 0.1944